DFT (PBE with a Hubbard U) results for Ac3CdCo2O9 after structural relaxation.

Results
VASP energy = -6.61 eV/atom

Unit cell a=5.5879 b=5.5879 c=7.1461 alpha=90.00 beta=90.00 gamma=120.00
Last column: nearest neighbours and their distance in Å.
Space group P-3m1 (No. 164)
Inequivalent atoms, fractional coordinates:
Ac 0.0000 0.0000 0.0000 (multiplicity 1)  12 O 2.76-2.79
Ac 0.3333 0.6667 0.6958 (multiplicity 2)  9 O 2.71-2.80
Cd 0.0000 0.0000 0.5000 (multiplicity 1)  6 O 2.19
Co 0.3333 0.6667 0.1603 (multiplicity 2)  6 O 1.85-1.98
O 0.0000 0.5000 0.0000 (multiplicity 3)  2 Co 1.98
O 0.1751 0.3503 0.3056 (multiplicity 6)  1 Co 1.85